Material: RbAg3I4
Method: DFT, PBE-GGA
State: relaxed

Cell lengths 8.463, 8.463, 8.463 Å; angles 90.00, 90.00, 90.00 degrees
Space group Pm-3n (No. 223)
Inequivalent atoms, fractional coordinates:
Rb: 0.000 0.000 0.000 (multiplicity 2)
Ag: 0.000 0.250 0.500 (multiplicity 6)
I: 0.250 0.250 0.250 (multiplicity 8)

Results
* N(E_F): 0.3 states/eV/cell
* ΔE_f (raw): -0.437 eV per atom
* crystal system: cubic



Material: RbAg3I4
Method: DFT, PBE-GGA
State: relaxed

Cell lengths 9.919, 8.373, 8.165 Å; angles 90.00, 90.00, 90.00 degrees
Space group Pmn2_1 (No. 31)
Inequivalent atoms, fractional coordinates:
Rb: 0.000 0.180 0.000 (multiplicity 2)
Ag: 0.000 0.808 0.522 (multiplicity 2)
Ag: 0.249 0.333 0.534 (multiplicity 4)
I: 0.000 0.151 0.561 (multiplicity 2)
I: 0.000 0.781 0.171 (multiplicity 2)
I: 0.214 0.639 0.684 (multiplicity 4)

Results
* N(E_F): 0.0 states/eV/cell
* ΔE_f (raw): -0.543 eV per atom
* crystal system: orthorhombic



Material: RbAg2I4
Method: DFT, PBE-GGA
State: relaxed

Cell lengths 17.322, 17.344, 8.063 Å; angles 90.00, 90.00, 90.00 degrees
Space group Fdd2 (No. 43)
Inequivalent atoms, fractional coordinates:
Rb: 0.000 0.000 0.000 (multiplicity 8)
Ag: 0.089 0.340 0.876 (multiplicity 16)
I: 0.073 0.134 0.350 (multiplicity 16)
I: 0.114 0.178 0.901 (multiplicity 16)

Results
* N(E_F): 40.9 states/eV/cell
* ΔE_f (raw): -0.513 eV per atom
* crystal system: orthorhombic



Material: Rb3AgI4
Method: DFT, PBE-GGA
State: relaxed

Cell lengths 9.967, 12.949, 11.393 Å; angles 90.00, 90.00, 90.00 degrees
Space group Pnma (No. 62)
Inequivalent atoms, fractional coordinates:
Rb: 0.015 0.038 0.207 (multiplicity 8)
Rb: 0.084 0.750 0.439 (multiplicity 4)
Ag: 0.185 0.750 0.989 (multiplicity 4)
I: 0.050 0.250 0.867 (multiplicity 4)
I: 0.199 0.049 0.522 (multiplicity 8)
I: 0.216 0.750 0.733 (multiplicity 4)

Results
* N(E_F): 0.0 states/eV/cell
* ΔE_f (raw): -1.156 eV per atom
* crystal system: orthorhombic



Material: RbAgI2
Method: DFT, PBE-GGA
State: relaxed

Cell lengths 8.312, 8.312, 8.312 Å; angles 90.00, 90.00, 90.00 degrees
Space group Fm-3m (No. 225)
Inequivalent atoms, fractional coordinates:
Rb: 0.000 0.000 0.000 (multiplicity 4)
Ag: 0.000 0.000 0.500 (multiplicity 4)
I: 0.250 0.250 0.250 (multiplicity 8)

Results
* N(E_F): 0.0 states/eV/cell
* ΔE_f (raw): -0.578 eV per atom
* crystal system: cubic



Material: Rb3AgI4
Method: DFT, PBE-GGA
State: relaxed

Cell lengths 12.095, 9.952, 7.422 Å; angles 90.00, 90.00, 90.00 degrees
Space group Pmn2_1 (No. 31)
Inequivalent atoms, fractional coordinates:
Rb: 0.000 0.137 0.000 (multiplicity 2)
Rb: 0.230 0.332 0.504 (multiplicity 4)
Ag: 0.000 0.811 0.409 (multiplicity 2)
I: 0.000 0.100 0.500 (multiplicity 2)
I: 0.000 0.785 0.023 (multiplicity 2)
I: 0.217 0.699 0.506 (multiplicity 4)

Results
* N(E_F): 0.0 states/eV/cell
* ΔE_f (raw): -1.127 eV per atom
* crystal system: orthorhombic



Material: Rb3Ag2I7
Method: DFT, PBE-GGA
State: relaxed

Cell lengths 5.928, 29.488, 5.777 Å; angles 90.00, 90.00, 90.00 degrees
Space group Cmmm (No. 65)
Inequivalent atoms, fractional coordinates:
Rb: 0.000 0.000 0.000 (multiplicity 2)
Rb: 0.000 0.178 0.000 (multiplicity 4)
Ag: 0.000 0.400 0.500 (multiplicity 4)
I: 0.000 0.094 0.500 (multiplicity 4)
I: 0.000 0.302 0.500 (multiplicity 4)
I: 0.000 0.406 0.000 (multiplicity 4)
I: 0.000 0.500 0.500 (multiplicity 2)

Results
* N(E_F): 8.0 states/eV/cell
* ΔE_f (raw): -0.776 eV per atom
* crystal system: orthorhombic



Material: RbAg2I3
Method: DFT, PBE-GGA
State: relaxed

Cell lengths 11.194, 14.782, 5.952 Å; angles 90.00, 90.00, 90.00 degrees
Space group Cmcm (No. 63)
Inequivalent atoms, fractional coordinates:
Rb: 0.000 0.220 0.250 (multiplicity 4)
Ag: 0.183 0.500 0.000 (multiplicity 8)
I: 0.000 0.391 0.750 (multiplicity 4)
I: 0.200 0.137 0.750 (multiplicity 8)

Results
* N(E_F): 0.0 states/eV/cell
* ΔE_f (raw): -0.662 eV per atom
* crystal system: orthorhombic



Material: RbAgI2
Method: DFT, PBE-GGA
State: relaxed

Cell lengths 8.591, 8.591, 9.297 Å; angles 90.00, 90.00, 90.00 degrees
Space group I-42d (No. 122)
Inequivalent atoms, fractional coordinates:
Rb: 0.000 0.000 0.000 (multiplicity 4)
Ag: 0.000 0.000 0.500 (multiplicity 4)
I: 0.177 0.250 0.625 (multiplicity 8)

Results
* N(E_F): 0.0 states/eV/cell
* ΔE_f (raw): -0.844 eV per atom
* crystal system: tetragonal



Material: Rb4AgI3
Method: DFT, PBE-GGA
State: relaxed

Cell lengths 10.574, 14.941, 5.271 Å; angles 90.00, 90.00, 90.00 degrees
Space group Cmmm (No. 65)
Inequivalent atoms, fractional coordinates:
Rb: 0.000 0.250 0.000 (multiplicity 4)
Rb: 0.250 0.000 0.500 (multiplicity 4)
Ag: 0.000 0.000 0.000 (multiplicity 2)
I: 0.000 0.500 0.000 (multiplicity 2)
I: 0.250 0.250 0.500 (multiplicity 4)

Results
* N(E_F): 0.0 states/eV/cell
* ΔE_f (raw): -1.085 eV per atom
* crystal system: orthorhombic



Material: RbReAgI6
Method: DFT, PBE-GGA
State: relaxed

Cell lengths 7.6621, 7.6621, 15.8988 Å; angles 90.00, 90.00, 120.00 degrees
Space group P-31c (No. 163)
Inequivalent atoms, fractional coordinates:
Rb: 0.0000 0.0000 0.0000 (multiplicity 2)
Re: 0.3333 0.6667 0.2500 (multiplicity 2)
Ag: 0.3333 0.6667 0.7500 (multiplicity 2)
I: 0.0307 0.3868 0.1499 (multiplicity 12)

Results
* ΔE_f (raw): -0.314 eV per atom
* crystal system: trigonal



Material: Rb2ReAgI6
Method: DFT, PBE-GGA
State: relaxed

Cell lengths 8.230, 8.230, 11.631 Å; angles 90.00, 90.00, 90.00 degrees
Space group I4/mmm (No. 139)
Inequivalent atoms, fractional coordinates:
Rb: 0.000 0.500 0.250 (multiplicity 4)
Re: 0.000 0.000 0.000 (multiplicity 2)
Ag: 0.000 0.000 0.500 (multiplicity 2)
I: 0.000 0.000 0.239 (multiplicity 4)
I: 0.239 0.239 0.000 (multiplicity 8)

Results
* N(E_F): 21.8 states/eV/cell
* ΔE_f (raw): -0.466 eV per atom
* crystal system: tetragonal



Material: Rb2AgRhI6
Method: DFT, PBE-GGA
State: relaxed

Cell lengths 11.468, 11.468, 11.468 Å; angles 90.00, 90.00, 90.00 degrees
Space group Fm-3m (No. 225)
Inequivalent atoms, fractional coordinates:
Rb: 0.250 0.250 0.250 (multiplicity 8)
Ag: 0.000 0.000 0.000 (multiplicity 4)
Rh: 0.000 0.000 0.500 (multiplicity 4)
I: 0.000 0.000 0.262 (multiplicity 24)

Results
* N(E_F): 9.3 states/eV/cell
* ΔE_f (raw): -0.667 eV per atom
* crystal system: cubic



Material: Rb2AgRuI6
Method: DFT, PBE-GGA
State: relaxed

Cell lengths 11.511, 11.511, 11.511 Å; angles 90.00, 90.00, 90.00 degrees
Space group Fm-3m (No. 225)
Inequivalent atoms, fractional coordinates:
Rb: 0.250 0.250 0.250 (multiplicity 8)
Ag: 0.000 0.000 0.000 (multiplicity 4)
Ru: 0.000 0.000 0.500 (multiplicity 4)
I: 0.000 0.000 0.262 (multiplicity 24)

Results
* N(E_F): 44.4 states/eV/cell
* ΔE_f (raw): -0.572 eV per atom
* crystal system: cubic



Material: RbAgRuI6
Method: DFT, PBE-GGA
State: relaxed

Cell lengths 7.5005, 7.5005, 8.0978 Å; angles 90.00, 90.00, 120.00 degrees
Space group P312 (No. 149)
Inequivalent atoms, fractional coordinates:
Rb: 0.0000 0.0000 0.0000 (multiplicity 1)
Ag: 0.6667 0.3333 0.5000 (multiplicity 1)
Ru: 0.3333 0.6667 0.5000 (multiplicity 1)
I: 0.0285 0.3824 0.6936 (multiplicity 6)

Results
* N(E_F): 10.7 states/eV/cell
* ΔE_f (raw): -0.342 eV per atom
* crystal system: trigonal



Material: RbAg2RuI
Method: DFT, PBE-GGA
State: relaxed

Cell lengths 5.624, 5.624, 4.927 Å; angles 90.00, 90.00, 90.00 degrees
Space group P4/mmm (No. 123)
Inequivalent atoms, fractional coordinates:
Rb: 0.000 0.000 0.000 (multiplicity 1)
Ag: 0.000 0.500 0.500 (multiplicity 2)
Ru: 0.500 0.500 0.000 (multiplicity 1)
I: 0.500 0.500 0.500 (multiplicity 1)

Results
* N(E_F): 2.9 states/eV/cell
* ΔE_f (raw): 0.886 eV per atom
* crystal system: tetragonal



Material: RbAgS2I
Method: DFT, PBE-GGA
State: relaxed

Cell lengths 5.450, 5.450, 5.328 Å; angles 90.00, 90.00, 90.00 degrees
Space group P4/mmm (No. 123)
Inequivalent atoms, fractional coordinates:
Rb: 0.000 0.000 0.000 (multiplicity 1)
Ag: 0.500 0.500 0.000 (multiplicity 1)
S: 0.000 0.500 0.500 (multiplicity 2)
I: 0.500 0.500 0.500 (multiplicity 1)

Results
* N(E_F): 5.3 states/eV/cell
* ΔE_f (raw): 0.184 eV per atom
* crystal system: tetragonal



Material: RbAg2SI
Method: DFT, PBE-GGA
State: relaxed

Cell lengths 4.899, 4.899, 6.805 Å; angles 90.00, 90.00, 90.00 degrees
Space group P4/mmm (No. 123)
Inequivalent atoms, fractional coordinates:
Rb: 0.000 0.000 0.000 (multiplicity 1)
Ag: 0.000 0.500 0.500 (multiplicity 2)
S: 0.000 0.000 0.500 (multiplicity 1)
I: 0.500 0.500 0.000 (multiplicity 1)

Results
* ΔE_f (raw): -0.492 eV per atom
* crystal system: tetragonal



Material: Rb2AgSI
Method: DFT, PBE-GGA
State: relaxed

Cell lengths 6.545, 6.545, 4.707 Å; angles 90.00, 90.00, 90.00 degrees
Space group P4/mmm (No. 123)
Inequivalent atoms, fractional coordinates:
Rb: 0.000 0.500 0.000 (multiplicity 2)
Ag: 0.000 0.000 0.500 (multiplicity 1)
S: 0.000 0.000 0.000 (multiplicity 1)
I: 0.500 0.500 0.500 (multiplicity 1)

Results
* ΔE_f (raw): -0.929 eV per atom
* crystal system: tetragonal



Material: Rb2AgSI6
Method: DFT, PBE-GGA
State: relaxed

Cell lengths 8.163, 8.163, 12.015 Å; angles 90.00, 90.00, 90.00 degrees
Space group I4/mmm (No. 139)
Inequivalent atoms, fractional coordinates:
Rb: 0.000 0.500 0.250 (multiplicity 4)
Ag: 0.000 0.000 0.000 (multiplicity 2)
S: 0.000 0.000 0.500 (multiplicity 2)
I: 0.000 0.000 0.230 (multiplicity 4)
I: 0.238 0.238 0.500 (multiplicity 8)

Results
* N(E_F): 12.1 states/eV/cell
* ΔE_f (raw): -0.544 eV per atom
* crystal system: tetragonal



Material: RbAgSb2I
Method: DFT, PBE-GGA
State: relaxed

Cell lengths 5.376, 5.376, 6.988 Å; angles 90.00, 90.00, 90.00 degrees
Space group P4/mmm (No. 123)
Inequivalent atoms, fractional coordinates:
Rb: 0.000 0.000 0.000 (multiplicity 1)
Ag: 0.500 0.500 0.500 (multiplicity 1)
Sb: 0.000 0.500 0.500 (multiplicity 2)
I: 0.500 0.500 0.000 (multiplicity 1)

Results
* N(E_F): 3.4 states/eV/cell
* ΔE_f (raw): 0.021 eV per atom
* crystal system: tetragonal